Crystalline La2AgP at its relaxed geometry, computed with PBEsol.

Properties
The calculation puts the formation enthalpy at 0 K at -303 kJ/mol of formula units. The space-group type is No. 166.

Cell: 7.845 7.845 7.845 Å, 30.82 30.82 30.82°
Positions (direct):
La 0.240 0.240 0.240
La 0.760 0.760 0.760
Ag 0.000 0.000 0.000
P 0.500 0.500 0.500